First-principles (PBE) data for crystalline ZrSi2Ir at its relaxed geometry, as listed in Alexandria.

Properties
- Crystal system: trigonal
- DFT total energy: -7.27 eV per atom
- M_tot: 0.00 Bohr magnetons per cell
- Uncorrected formation energy: -0.21 eV/atom
- Symmetry: R3m (160)
- Mass density: 8.75 g/cm3

a b c (Å): 8.521 8.521 8.521
angles (deg): 20.19 20.19 20.19
Positions (direct):
Zr: 0.000 0.000 0.000
Si: 0.500 0.500 0.500
Si: 0.756 0.756 0.756
Ir: 0.238 0.238 0.238